Entry 1:
Compound: SrLa2InH
Source: the Alexandria database
Functional: PBE
Structure: optimized geometry

abc: 5.1064 5.1064 5.3446
angles: 90.00 90.00 90.00
Space group P4/mmm (No. 123)
One atom of each set of equivalent atoms:
Sr1 0.0000 0.0000 0.0000
La1 0.0000 0.5000 0.5000
In1 0.5000 0.5000 0.0000
H1 0.0000 0.0000 0.5000

uncorrected energy	-19.11	eV/cell
Fermi-level density of states	1.29	states/eV/atom


Entry 2:
Compound: Sr2LaInH
Source: the Alexandria database
Functional: PBE
Structure: optimized geometry

abc: 5.2699 5.2699 5.2566
angles: 90.00 90.00 90.00
Space group P4/mmm (No. 123)
One atom of each set of equivalent atoms:
Sr1 0.0000 0.5000 0.0000
La1 0.0000 0.0000 0.5000
In1 0.5000 0.5000 0.5000
H1 0.0000 0.0000 0.0000

uncorrected energy	-15.71	eV/cell
Fermi-level density of states	0.90	states/eV/atom


Entry 3:
Compound: La2InTeH
Source: the Alexandria database
Functional: PBE
Structure: optimized geometry

abc: 6.2430 6.2430 3.8450
angles: 90.00 90.00 90.00
Space group P4/mmm (No. 123)
One atom of each set of equivalent atoms:
La1 0.0000 0.5000 0.0000
In1 0.0000 0.0000 0.5000
Te1 0.5000 0.5000 0.0000
H1 0.5000 0.5000 0.5000

uncorrected energy	-20.36	eV/cell
Fermi-level density of states	1.31	states/eV/atom